one) VASP calculation (PBE) on an optimized crystal structure of SiTe2F.

Computed properties:
ρ   6392 kg/m³
V   78.5 Å³ per cell
Total moment   0.000 μB per atom
Space-group type   Fm-3m

a = 4.8066 Å, b = 4.8066 Å, c = 4.8066 Å
α = 60.00°, β = 60.00°, γ = 60.00°
Fractional coordinates of all 4 atoms:
1 Si 0.5000 0.5000 0.5000
2 F 0.0000 0.0000 0.0000
3 Te 0.2500 0.2500 0.2500
4 Te 0.7500 0.7500 0.7500

=====

two) VASP calculation (PBE) on an optimized crystal structure of SiTe2F.

Computed properties:
ρ   6040 kg/m³
V   83.1 Å³ per cell
Total moment   0.000 μB per atom
Space-group type   R-3m

a = 9.7890 Å, b = 9.7890 Å, c = 9.7890 Å
α = 18.57°, β = 18.57°, γ = 18.57°
Fractional coordinates of all 4 atoms:
1 Te 0.9066 0.9066 0.9066
2 Te 0.0934 0.0934 0.0934
3 F 0.5000 0.5000 0.5000
4 Si 0.0000 0.0000 0.0000

=====

Pick one): it beats the second-best structure by 0.047 eV/atom.

=====

one) VASP calculation (PBE) on an optimized crystal structure of SiTeF2.

Computed properties:
ρ   3726 kg/m³
V   86.3 Å³ per cell
Total moment   0.000 μB per atom
Space-group type   R-3m

a = 9.2225 Å, b = 9.2225 Å, c = 9.2225 Å
α = 20.77°, β = 20.77°, γ = 20.77°
Fractional coordinates of all 4 atoms:
1 F 0.2066 0.2066 0.2066
2 F 0.7934 0.7934 0.7934
3 Te 0.0000 0.0000 0.0000
4 Si 0.5000 0.5000 0.5000

=====

two) VASP calculation (PBE) on an optimized crystal structure of SiTeF2.

Computed properties:
ρ   3653 kg/m³
V   176.1 Å³ per cell
Total moment   0.000 μB per atom
Space-group type   I4_1/amd

a = 6.2526 Å, b = 6.2526 Å, c = 6.3110 Å
α = 60.31°, β = 60.31°, γ = 90.00°
Fractional coordinates of all 8 atoms:
1 Si 0.2500 0.7500 0.5000
2 Si 0.5000 0.5000 0.0000
3 Te 0.0000 0.0000 0.0000
4 Te 0.7500 0.2500 0.5000
5 F 0.3745 0.1250 0.2500
6 F 0.3755 0.6250 0.2500
7 F 0.8750 0.6245 0.7500
8 F 0.3750 0.6255 0.7500

=====

three) VASP calculation (PBE) on an optimized crystal structure of SiTeF2.

Computed properties:
ρ   4104 kg/m³
V   78.4 Å³ per cell
Total moment   0.000 μB per atom
Space-group type   R-3m

a = 10.0703 Å, b = 10.0703 Å, c = 10.0703 Å
α = 17.25°, β = 17.25°, γ = 17.25°
Fractional coordinates of all 4 atoms:
1 Si 0.0000 0.0000 0.0000
2 F 0.9448 0.9448 0.9448
3 F 0.0552 0.0552 0.0552
4 Te 0.5000 0.5000 0.5000

=====

Pick three): it beats the second-best structure by 0.275 eV/atom.

=====

one) VASP calculation (PBE) on an optimized crystal structure of TiSiF2.

Computed properties:
ρ   3755 kg/m³
V   50.4 Å³ per cell
Total moment   0.000 μB per atom
Space-group type   Fm-3m

a = 4.1459 Å, b = 4.1459 Å, c = 4.1459 Å
α = 60.00°, β = 60.00°, γ = 60.00°
Fractional coordinates of all 4 atoms:
1 F 0.2500 0.2500 0.2500
2 F 0.7500 0.7500 0.7500
3 Ti 0.5000 0.5000 0.5000
4 Si 0.0000 0.0000 0.0000

=====

two) VASP calculation (PBE) on an optimized crystal structure of TiSiF2.

Computed properties:
ρ   3735 kg/m³
V   101.3 Å³ per cell
Total moment   0.000 μB per atom
Space-group type   I-42d

a = 3.6890 Å, b = 3.6890 Å, c = 7.8888 Å
α = 76.48°, β = 76.48°, γ = 90.00°
Fractional coordinates of all 8 atoms:
1 Si 0.2500 0.7500 0.5000
2 Si 0.5000 0.5000 0.0000
3 Ti 0.0000 0.0000 0.0000
4 Ti 0.7500 0.2500 0.5000
5 F 0.3750 0.3363 0.7500
6 F 0.6637 0.1250 0.2500
7 F 0.8750 0.9137 0.7500
8 F 0.0863 0.6250 0.2500

=====

three) VASP calculation (PBE) on an optimized crystal structure of TiSiF2.

Computed properties:
ρ   3001 kg/m³
V   63.1 Å³ per cell
Total moment   0.000 μB per atom
Space-group type   R-3m

a = 10.0623 Å, b = 10.0623 Å, c = 10.0623 Å
α = 15.46°, β = 15.46°, γ = 15.46°
Fractional coordinates of all 4 atoms:
1 Si 0.0000 0.0000 0.0000
2 F 0.8802 0.8802 0.8802
3 F 0.1198 0.1198 0.1198
4 Ti 0.5000 0.5000 0.5000

=====

Pick three): it beats the second-best structure by 0.196 eV/atom.

=====

one) VASP calculation (PBE) on an optimized crystal structure of TiSiF3.

Computed properties:
ρ   3169 kg/m³
V   69.7 Å³ per cell
Total moment   0.000 μB per atom
Space-group type   Pm-3m

a = 4.1147 Å, b = 4.1147 Å, c = 4.1147 Å
α = 90.00°, β = 90.00°, γ = 90.00°
Fractional coordinates of all 5 atoms:
1 Ti 0.0000 0.0000 0.0000
2 Si 0.5000 0.5000 0.5000
3 F 0.0000 0.0000 0.5000
4 F 0.0000 0.5000 0.0000
5 F 0.5000 0.0000 0.0000

=====

two) VASP calculation (PBE) on an optimized crystal structure of TiSiF3.

Computed properties:
ρ   2838 kg/m³
V   77.8 Å³ per cell
Total moment   0.600 μB per atom
Space-group type   Pm-3m

a = 4.2689 Å, b = 4.2689 Å, c = 4.2689 Å
α = 90.00°, β = 90.00°, γ = 90.00°
Site moments in Bohr magnetons follow the coordinates.
Fractional coordinates of all 5 atoms:
1 Si 0.0000 0.0000 0.0000  0.03
2 F 0.0000 0.0000 0.5000  0.03
3 F 0.5000 0.0000 0.0000  0.02
4 F 0.0000 0.5000 0.0000  0.02
5 Ti 0.5000 0.5000 0.5000  2.25

=====

Pick one): it beats the second-best structure by 0.551 eV/atom.

=====

one) VASP calculation (PBE) on an optimized crystal structure of Ti2SiF.

Computed properties:
ρ   4146 kg/m³
V   57.2 Å³ per cell
Total moment   0.000 μB per atom
Space-group type   Fm-3m

a = 4.3248 Å, b = 4.3248 Å, c = 4.3248 Å
α = 60.00°, β = 60.00°, γ = 60.00°
Fractional coordinates of all 4 atoms:
1 Si 0.5000 0.5000 0.5000
2 F 0.0000 0.0000 0.0000
3 Ti 0.7500 0.7500 0.7500
4 Ti 0.2500 0.2500 0.2500

=====

two) VASP calculation (PBE) on an optimized crystal structure of Ti2SiF.

Computed properties:
ρ   3432 kg/m³
V   138.2 Å³ per cell
Total moment   0.000 μB per atom
Space-group type   I-42d

a = 4.8619 Å, b = 4.8619 Å, c = 6.7820 Å
α = 69.00°, β = 69.00°, γ = 90.00°
Fractional coordinates of all 8 atoms:
1 Ti 0.5492 0.1250 0.2500
2 Ti 0.3750 0.4508 0.7500
3 Ti 0.2008 0.6250 0.2500
4 Ti 0.8750 0.7992 0.7500
5 Si 0.7500 0.2500 0.5000
6 Si 0.0000 0.0000 0.0000
7 F 0.5000 0.5000 0.0000
8 F 0.2500 0.7500 0.5000

=====

Pick one): it beats the second-best structure by 0.244 eV/atom.

=====

one) VASP calculation (PBE) on an optimized crystal structure of TlSi2F.

Computed properties:
ρ   6619 kg/m³
V   70.1 Å³ per cell
Total moment   0.000 μB per atom
Space-group type   Fm-3m

a = 4.6288 Å, b = 4.6288 Å, c = 4.6288 Å
α = 60.00°, β = 60.00°, γ = 60.00°
Fractional coordinates of all 4 atoms:
1 Tl 0.5000 0.5000 0.5000
2 F 0.0000 0.0000 0.0000
3 Si 0.2500 0.2500 0.2500
4 Si 0.7500 0.7500 0.7500

=====

two) VASP calculation (PBE) on an optimized crystal structure of TlSi2F.

Computed properties:
ρ   6178 kg/m³
V   150.3 Å³ per cell
Total moment   0.000 μB per atom
Space-group type   I-42d

a = 3.6087 Å, b = 3.6087 Å, c = 11.8184 Å
α = 81.22°, β = 81.22°, γ = 90.00°
Fractional coordinates of all 8 atoms:
1 Tl 0.0000 0.0000 0.0000
2 Tl 0.7500 0.2500 0.5000
3 F 0.2500 0.7500 0.5000
4 F 0.5000 0.5000 0.0000
5 Si 0.6391 0.1250 0.2500
6 Si 0.3750 0.3609 0.7500
7 Si 0.1109 0.6250 0.2500
8 Si 0.8750 0.8891 0.7500

=====

Pick two): it beats the second-best structure by 0.424 eV/atom.

=====

one) VASP calculation (PBE) on an optimized crystal structure of TlSiF2.

Computed properties:
ρ   6502 kg/m³
V   69.1 Å³ per cell
Total moment   0.000 μB per atom
Space-group type   R-3m

a = 8.2622 Å, b = 8.2622 Å, c = 8.2622 Å
α = 21.95°, β = 21.95°, γ = 21.95°
Fractional coordinates of all 4 atoms:
1 Tl 0.5000 0.5000 0.5000
2 F 0.9265 0.9265 0.9265
3 F 0.0735 0.0735 0.0735
4 Si 0.0000 0.0000 0.0000

=====

two) VASP calculation (PBE) on an optimized crystal structure of TlSiF2.

Computed properties:
ρ   6186 kg/m³
V   145.2 Å³ per cell
Total moment   0.000 μB per atom
Space-group type   I-42d

a = 4.4068 Å, b = 4.4068 Å, c = 8.1004 Å
α = 74.22°, β = 74.22°, γ = 90.00°
Fractional coordinates of all 8 atoms:
1 F 0.8750 0.7726 0.7500
2 F 0.5226 0.1250 0.2500
3 F 0.3750 0.4774 0.7500
4 F 0.2274 0.6250 0.2500
5 Si 0.2500 0.7500 0.5000
6 Si 0.5000 0.5000 0.0000
7 Tl 0.7500 0.2500 0.5000
8 Tl 0.0000 0.0000 0.0000

=====

Pick one): it beats the second-best structure by 0.349 eV/atom.

=====

one) VASP calculation (PBE) on an optimized crystal structure of TlSiF2.

Computed properties:
ρ   5289 kg/m³
V   84.9 Å³ per cell
Total moment   0.000 μB per atom
Space-group type   R-3m

a = 8.1153 Å, b = 8.1153 Å, c = 8.1153 Å
α = 25.15°, β = 25.15°, γ = 25.15°
Fractional coordinates of all 4 atoms:
1 F 0.1259 0.1259 0.1259
2 F 0.8741 0.8741 0.8741
3 Si 0.5000 0.5000 0.5000
4 Tl 0.0000 0.0000 0.0000

=====

two) VASP calculation (PBE) on an optimized crystal structure of TlSiF2.

Computed properties:
ρ   6743 kg/m³
V   66.6 Å³ per cell
Total moment   0.000 μB per atom
Space-group type   Fm-3m

a = 4.5499 Å, b = 4.5499 Å, c = 4.5499 Å
α = 60.00°, β = 60.00°, γ = 60.00°
Fractional coordinates of all 4 atoms:
1 Si 0.0000 0.0000 0.0000
2 Tl 0.5000 0.5000 0.5000
3 F 0.7500 0.7500 0.7500
4 F 0.2500 0.2500 0.2500

=====

Pick one): it beats the second-best structure by 0.324 eV/atom.